Material: Ac5Ga2N2
Method: DFT, PBE
State: relaxed

Unit cell a=5.196 b=5.196 c=10.113 alpha=90.00 beta=90.00 gamma=90.00
Sites, in units of the cell vectors:
Ac (0.000, 0.000, 0.000)
Ac (0.000, 0.500, 0.290)
Ac (0.000, 0.500, 0.710)
Ac (0.500, 0.000, 0.290)
Ac (0.500, 0.000, 0.710)
Ga (0.500, 0.500, 0.000)
Ga (0.500, 0.500, 0.500)
N (0.000, 0.000, 0.248)
N (0.000, 0.000, 0.752)

mass density = 7.920 g/cm³
uncorrected formation energy = -59.5 kJ per mole of atoms
total magnetization = 0.0 μB per formula unit
polymorph energy (0 for the lowest one) = 0.071 eV/atom